(1)
Crystalline LaPr2Dy3 at its relaxed geometry, computed with GGA-PBE.

Values from the calculation:
final energy = -0.16895 Ha/atom
SG = C2/m

```
data_LaPr2Dy3
_chemical_formula_sum 'La2 Pr4 Dy6'
_space_group_name_H-M_alt 'P 1'
_space_group_IT_number 1
_space_group_name_Hall 'P 1'
_cell_length_a 11.8669
_cell_length_b 11.8669
_cell_length_c 10.5340
_cell_angle_alpha 71.37
_cell_angle_beta 71.37
_cell_angle_gamma 17.22
loop_
_atom_site_label
_atom_site_type_symbol
_atom_site_fract_x
_atom_site_fract_y
_atom_site_fract_z
_atom_site_occupancy
Dy1 Dy 0.5597 0.5597 0.5499 1
Pr1 Pr 0.0652 0.0652 0.8574 1
Dy2 Dy 0.3044 0.3044 0.7157 1
La1 La 0.3130 0.3130 0.0351 1
Dy3 Dy 0.0687 0.0687 0.2429 1
Pr2 Pr 0.3096 0.3096 0.3712 1
Pr3 Pr 0.9348 0.9348 0.1426 1
Dy4 Dy 0.4403 0.4403 0.4501 1
Pr4 Pr 0.6904 0.6904 0.6288 1
Dy5 Dy 0.9313 0.9313 0.7571 1
La2 La 0.6870 0.6870 0.9649 1
Dy6 Dy 0.6956 0.6956 0.2843 1
```

=====

(2)
Crystalline LaPr2Dy8 at its relaxed geometry, computed with GGA-PBE.

Values from the calculation:
final energy = -0.16514 Ha/atom
SG = C2/m

```
data_LaPr2Dy8
_chemical_formula_sum 'La1 Pr2 Dy8'
_space_group_name_H-M_alt 'P 1'
_space_group_IT_number 1
_space_group_name_Hall 'P 1'
_cell_length_a 6.6903
_cell_length_b 6.7544
_cell_length_c 8.9527
_cell_angle_alpha 98.72
_cell_angle_beta 111.94
_cell_angle_gamma 90.00
loop_
_atom_site_label
_atom_site_type_symbol
_atom_site_fract_x
_atom_site_fract_y
_atom_site_fract_z
_atom_site_occupancy
Dy1 Dy 0.2055 0.7930 0.4109 1
Dy2 Dy 0.1754 0.5917 0.8220 1
Dy3 Dy 0.7945 0.2070 0.5891 1
Dy4 Dy 0.8246 0.4083 0.1780 1
La1 La 0.0000 0.0000 0.0000 1
Dy5 Dy 0.5885 0.9070 0.1770 1
Dy6 Dy 0.3534 0.4083 0.1780 1
Pr1 Pr 0.7568 0.7018 0.5136 1
Dy7 Dy 0.4115 0.0930 0.8230 1
Pr2 Pr 0.2432 0.2982 0.4864 1
Dy8 Dy 0.6466 0.5917 0.8220 1
```

=====

(3)
Crystalline La5Pr6Dy at its relaxed geometry, computed with GGA-PBE.

Values from the calculation:
final energy = -0.17686 Ha/atom
SG = C2/m

```
data_La5Pr6Dy
_chemical_formula_sum 'La5 Pr6 Dy1'
_space_group_name_H-M_alt 'P 1'
_space_group_IT_number 1
_space_group_name_Hall 'P 1'
_cell_length_a 12.3124
_cell_length_b 6.4318
_cell_length_c 6.4322
_cell_angle_alpha 60.00
_cell_angle_beta 84.95
_cell_angle_gamma 79.86
loop_
_atom_site_label
_atom_site_type_symbol
_atom_site_fract_x
_atom_site_fract_y
_atom_site_fract_z
_atom_site_occupancy
Pr1 Pr 0.2486 0.9170 0.6681 1
Pr2 Pr 0.7514 0.4149 0.6681 1
La1 La 0.0000 0.6670 0.6660 1
La2 La 0.0000 0.3330 0.3340 1
La3 La 0.5000 0.1663 0.6675 1
Pr3 Pr 0.7517 0.7508 0.0000 1
La4 La 0.5000 0.8337 0.3325 1
Pr4 Pr 0.2483 0.2492 0.0000 1
Pr5 Pr 0.7514 0.0830 0.3319 1
La5 La 0.5000 0.5000 0.0000 1
Pr6 Pr 0.2486 0.5851 0.3319 1
Dy1 Dy 0.0000 0.0000 0.0000 1
```

=====

(4)
Crystalline La2Pr2Dy5 at its relaxed geometry, computed with GGA-PBE.

Values from the calculation:
final energy = -0.16632 Ha/atom
SG = Ima2

```
data_La2Pr2Dy5
_chemical_formula_sum 'La4 Pr4 Dy10'
_space_group_name_H-M_alt 'P 1'
_space_group_IT_number 1
_space_group_name_Hall 'P 1'
_cell_length_a 12.0754
_cell_length_b 6.7876
_cell_length_c 10.2509
_cell_angle_alpha 109.33
_cell_angle_beta 126.09
_cell_angle_gamma 90.00
loop_
_atom_site_label
_atom_site_type_symbol
_atom_site_fract_x
_atom_site_fract_y
_atom_site_fract_z
_atom_site_occupancy
Pr1 Pr 0.5000 0.5206 0.0000 1
Dy1 Dy 0.3742 0.0325 0.2852 1
Pr2 Pr 0.7442 0.8500 0.5000 1
Dy2 Dy 0.9884 0.1620 0.5000 1
Dy3 Dy 0.8078 0.2549 0.1065 1
Pr3 Pr 0.0000 0.0206 0.0000 1
La1 La 0.1290 0.6870 0.2537 1
Dy4 Dy 0.2013 0.6484 0.8935 1
Dy5 Dy 0.1922 0.1484 0.8935 1
Dy6 Dy 0.6258 0.7472 0.7148 1
Dy7 Dy 0.0116 0.6620 0.5000 1
La2 La 0.8710 0.4334 0.7463 1
Pr4 Pr 0.2558 0.3500 0.5000 1
Dy8 Dy 0.7987 0.7549 0.1065 1
La3 La 0.3754 0.9334 0.7463 1
Dy9 Dy 0.5889 0.2472 0.7148 1
La4 La 0.6246 0.1870 0.2537 1
Dy10 Dy 0.4111 0.5325 0.2852 1
```

=====

- What is the final energy in the fourth record?
  -0.16632 Ha/atom

=====

- Which of these has the highest final energy?
  LaPr2Dy8

=====

Copy entry 1 word for word.
Crystalline LaPr2Dy3 at its relaxed geometry, computed with GGA-PBE.

Values from the calculation:
final energy = -0.16895 Ha/atom
SG = C2/m

```
data_LaPr2Dy3
_chemical_formula_sum 'La2 Pr4 Dy6'
_space_group_name_H-M_alt 'P 1'
_space_group_IT_number 1
_space_group_name_Hall 'P 1'
_cell_length_a 11.8669
_cell_length_b 11.8669
_cell_length_c 10.5340
_cell_angle_alpha 71.37
_cell_angle_beta 71.37
_cell_angle_gamma 17.22
loop_
_atom_site_label
_atom_site_type_symbol
_atom_site_fract_x
_atom_site_fract_y
_atom_site_fract_z
_atom_site_occupancy
Dy1 Dy 0.5597 0.5597 0.5499 1
Pr1 Pr 0.0652 0.0652 0.8574 1
Dy2 Dy 0.3044 0.3044 0.7157 1
La1 La 0.3130 0.3130 0.0351 1
Dy3 Dy 0.0687 0.0687 0.2429 1
Pr2 Pr 0.3096 0.3096 0.3712 1
Pr3 Pr 0.9348 0.9348 0.1426 1
Dy4 Dy 0.4403 0.4403 0.4501 1
Pr4 Pr 0.6904 0.6904 0.6288 1
Dy5 Dy 0.9313 0.9313 0.7571 1
La2 La 0.6870 0.6870 0.9649 1
Dy6 Dy 0.6956 0.6956 0.2843 1
```